Below is an optimized crystal structure of IrINO2, with properties calculated at the PBE-GGA level.

Results
Theoretical density in g/cm³: 8.391
V in Å³/cell: 72.3
ΔE_f (raw) in eV/atom: 1.63

The structure in extended XYZ format:
```
5
Lattice="3.922 0.000 0.000 0.000 3.922 0.000 0.000 0.000 4.697" Properties=species:S:1:pos:R:3 pbc="T T T"
O 0.000 1.961 0.000
I 0.000 0.000 0.000
Ir 1.961 1.961 2.348
N 0.000 0.000 2.348
O 1.961 0.000 0.000
```

***

Below is an optimized crystal structure of IrOsIN2, with properties calculated at the PBE-GGA level.

Results
ΔE to the lowest computed polymorph in meV/atom: 0
Theoretical density in g/cm³: 10.213
V in Å³/cell: 87.4
ΔE_f (raw) in eV/atom: 1.27

The structure in extended XYZ format:
```
5
Lattice="-3.063 -0.206 2.217 1.682 -2.685 2.074 2.348 4.285 3.641" Properties=species:S:1:pos:R:3 pbc="T T T"
Ir 0.483 0.697 3.966
N 0.841 -1.342 1.037
N -1.531 -0.103 1.109
Os 0.000 0.000 0.000
I 1.174 2.142 1.821
```

***

Below is an optimized crystal structure of IrOsIN2, with properties calculated at the PBE-GGA level.

Results
ΔE to the lowest computed polymorph in meV/atom: 368
Theoretical density in g/cm³: 8.061
V in Å³/cell: 110.7
ΔE_f (raw) in eV/atom: 1.64

The structure in extended XYZ format:
```
5
Lattice="-2.665 -0.109 -2.647 2.032 -2.493 -1.943 -3.546 -5.862 3.810" Properties=species:S:1:pos:R:3 pbc="T T T"
N 1.016 -1.246 -0.972
Os -2.089 -4.232 -0.390
I -1.773 -2.931 1.905
Ir 0.000 0.000 0.000
N -1.332 -0.054 -1.324
```